1.
# Np5Ta3N8

A relaxed structure of Np5Ta3N8 (PBE, the Alexandria database).

Formation energy without anion corrections: -18.09 eV/f.u.
Symmetry: R-3m

Cell lengths 6.6635, 6.6635, 6.6635 Å; angles 58.98, 58.98, 58.98 degrees
Positions (direct):
Np 0.0000 0.0000 0.0000
Np 0.0000 0.5000 0.5000
Np 0.5000 0.0000 0.5000
Np 0.5000 0.5000 0.0000
Np 0.5000 0.5000 0.5000
Ta 0.0000 0.0000 0.5000
Ta 0.0000 0.5000 0.0000
Ta 0.5000 0.0000 0.0000
N 0.2245 0.7490 0.7490
N 0.2396 0.2396 0.2396
N 0.2510 0.2510 0.7755
N 0.2510 0.7755 0.2510
N 0.7490 0.2245 0.7490
N 0.7490 0.7490 0.2245
N 0.7604 0.7604 0.7604
N 0.7755 0.2510 0.2510

***

2.
# Li2NpCdO4

A relaxed structure of Li2NpCdO4 (PBE, the Alexandria database).

Formation energy without anion corrections: -16.16 eV/f.u.
Symmetry: P2/m

Cell lengths 5.3934, 3.4546, 5.5786 Å; angles 90.00, 105.77, 90.00 degrees
Positions (direct):
Li 0.0000 0.0000 0.0000
Li 0.0000 0.5000 0.5000
Np 0.5000 0.0000 0.5000
Cd 0.5000 0.5000 0.0000
O 0.2536 0.0000 0.7516
O 0.2567 0.5000 0.2876
O 0.7433 0.5000 0.7124
O 0.7464 0.0000 0.2484

***

3.
# Rb4OF

A relaxed structure of Rb4OF (PBE, the Alexandria database).

Formation energy without anion corrections: -7.92 eV/f.u.
Symmetry: Cmc2_1
Energy above the most stable polymorph in this dataset: 49 meV/atom

Cell lengths 13.4971, 13.4971, 8.5738 Å; angles 90.00, 90.00, 159.68 degrees
Positions (direct):
Rb 0.0375 0.9625 0.5000
Rb 0.1402 0.8598 0.1734
Rb 0.2387 0.7613 0.4760
Rb 0.3539 0.6461 0.1330
Rb 0.6461 0.3539 0.6330
Rb 0.7613 0.2387 0.9760
Rb 0.8598 0.1402 0.6734
Rb 0.9625 0.0375 0.0000
O 0.1351 0.8649 0.4755
O 0.8649 0.1351 0.9755
F 0.2447 0.7553 0.1449
F 0.7553 0.2447 0.6449

***

4.
# K2NpPaO8

A relaxed structure of K2NpPaO8 (PBE, the Alexandria database).

Formation energy without anion corrections: -27.99 eV/f.u.
Symmetry: P2/m

Cell lengths 5.6583, 7.0559, 5.6907 Å; angles 90.00, 91.96, 90.00 degrees
Positions (direct):
K 0.0000 0.2463 0.0000
K 0.0000 0.7537 0.0000
Np 0.5000 0.0000 0.5000
Pa 0.5000 0.5000 0.5000
O 0.2555 0.5000 0.2592
O 0.2632 0.0000 0.2674
O 0.3422 0.2365 0.6594
O 0.3422 0.7635 0.6594
O 0.6578 0.2365 0.3406
O 0.6578 0.7635 0.3406
O 0.7368 0.0000 0.7326
O 0.7445 0.5000 0.7408

***

5.
# MgPaS4

A relaxed structure of MgPaS4 (PBE, the Alexandria database).

Formation energy without anion corrections: -6.70 eV/f.u.
Symmetry: P2_1/c
Energy above the most stable polymorph in this dataset: 0 meV/atom

Cell lengths 6.4784, 6.3346, 6.5734 Å; angles 90.00, 92.24, 90.00 degrees
Positions (direct):
Mg 0.0000 0.0000 0.0000
Mg 0.0000 0.5000 0.5000
Pa 0.5000 0.0000 0.5000
Pa 0.5000 0.5000 0.0000
S 0.1238 0.1248 0.6135
S 0.1238 0.3752 0.1135
S 0.3521 0.6392 0.6499
S 0.3521 0.8608 0.1499
S 0.6479 0.1392 0.8501
S 0.6479 0.3608 0.3501
S 0.8762 0.6248 0.8865
S 0.8762 0.8752 0.3865

***

6.
# AlReHg

A relaxed structure of AlReHg (PBE, the Alexandria database).

Symmetry: F-43m
Energy above the most stable polymorph in this dataset: 426 meV/atom
Calculated formation energy: 822 meV/atom

Cell lengths 4.2797, 4.2797, 4.2797 Å; angles 60.00, 60.00, 60.00 degrees
Positions (direct):
Al 0.0000 0.0000 0.0000
Re 0.2500 0.2500 0.2500
Hg 0.7500 0.7500 0.7500

***

7.
# Sm3Cd2Pd8

A relaxed structure of Sm3Cd2Pd8 (PBE, the Alexandria database).

Symmetry: R-3m
Calculated formation energy: -512 meV/atom

Cell lengths 10.8255, 10.8255, 10.8255 Å; angles 29.03, 29.03, 29.03 degrees
Positions (direct):
Sm 0.0000 0.0000 0.0000
Sm 0.1900 0.1900 0.1900
Sm 0.8100 0.8100 0.8100
Cd 0.3650 0.3650 0.3650
Cd 0.6350 0.6350 0.6350
Pd 0.2267 0.7319 0.7319
Pd 0.2681 0.2681 0.7733
Pd 0.2681 0.7733 0.2681
Pd 0.2807 0.2807 0.2807
Pd 0.7193 0.7193 0.7193
Pd 0.7319 0.2267 0.7319
Pd 0.7319 0.7319 0.2267
Pd 0.7733 0.2681 0.2681

***

8.
# SrTlRe2

A relaxed structure of SrTlRe2 (PBE, the Alexandria database).

Symmetry: I-42d
Energy above the most stable polymorph in this dataset: 1280 meV/atom
Calculated formation energy: 1666 meV/atom

Cell lengths 6.4576, 6.4576, 6.4576 Å; angles 100.38, 100.38, 129.77 degrees
Positions (direct):
Sr 0.0000 0.0000 0.0000
Sr 0.7500 0.2500 0.5000
Tl 0.2500 0.7500 0.5000
Tl 0.5000 0.5000 0.0000
Re 0.1631 0.6250 0.0381
Re 0.3750 0.4131 0.5381
Re 0.5869 0.1250 0.9619
Re 0.8750 0.8369 0.4619

***

9.
# Ac3SmCd4

A relaxed structure of Ac3SmCd4 (PBE, the Alexandria database).

Symmetry: P4/mmm
Calculated formation energy: -292 meV/atom

Cell lengths 4.0072, 4.0072, 16.0857 Å; angles 90.00, 90.00, 90.00 degrees
Positions (direct):
Ac 0.0000 0.0000 0.0000
Ac 0.0000 0.0000 0.2598
Ac 0.0000 0.0000 0.7402
Sm 0.0000 0.0000 0.5000
Cd 0.5000 0.5000 0.1290
Cd 0.5000 0.5000 0.3935
Cd 0.5000 0.5000 0.6065
Cd 0.5000 0.5000 0.8710

***

10.
# KLiTl2Pb

A relaxed structure of KLiTl2Pb (PBE, the Alexandria database).

Symmetry: P4/mmm
Energy above the most stable polymorph in this dataset: 77 meV/atom
Calculated formation energy: -48 meV/atom

Cell lengths 5.4027, 5.4027, 5.3647 Å; angles 90.00, 90.00, 90.00 degrees
Positions (direct):
K 0.0000 0.0000 0.0000
Li 0.5000 0.5000 0.5000
Tl 0.0000 0.5000 0.5000
Tl 0.5000 0.0000 0.5000
Pb 0.5000 0.5000 0.0000

***

11.
# RbTaMo2

A relaxed structure of RbTaMo2 (PBE, the Alexandria database).

Symmetry: Fm-3m
Energy above the most stable polymorph in this dataset: 0 meV/atom
Calculated formation energy: 1726 meV/atom

Cell lengths 4.7973, 4.7973, 4.7973 Å; angles 60.00, 60.00, 60.00 degrees
Positions (direct):
Rb 0.0000 0.0000 0.0000
Ta 0.5000 0.5000 0.5000
Mo 0.2500 0.2500 0.2500
Mo 0.7500 0.7500 0.7500

***

12.
# Pa2GaOs3

A relaxed structure of Pa2GaOs3 (PBE, the Alexandria database).

Symmetry: R-3m
Energy above the most stable polymorph in this dataset: 0 meV/atom
Calculated formation energy: -357 meV/atom

Cell lengths 5.1180, 5.1180, 5.1180 Å; angles 66.55, 66.55, 66.55 degrees
Positions (direct):
Pa 0.1232 0.1232 0.1232
Pa 0.8768 0.8768 0.8768
Ga 0.5000 0.5000 0.5000
Os 0.0000 0.5000 0.5000
Os 0.5000 0.0000 0.5000
Os 0.5000 0.5000 0.0000

***

Number 1: total DFT energy (no corrections) -11.560 eV/atom. Number 2: total DFT energy (no corrections) -6.710 eV/atom. Number 3: total DFT energy (no corrections) -3.104 eV/atom. Number 4: total DFT energy (no corrections) -7.690 eV/atom. Number 5: total DFT energy (no corrections) -5.716 eV/atom. Number 6: total DFT energy (no corrections) -4.675 eV/atom. Number 7: total DFT energy (no corrections) -4.938 eV/atom. Number 8: total DFT energy (no corrections) -5.570 eV/atom. Number 9: total DFT energy (no corrections) -2.880 eV/atom. Number 10: total DFT energy (no corrections) -2.339 eV/atom. Number 11: total DFT energy (no corrections) -6.895 eV/atom. Number 12: total DFT energy (no corrections) -9.641 eV/atom.